(1)
Na2HfFe: PBEsol geometry, meta-GGA SCAN.

a b c (Å): 4.8457 4.8457 4.8457
angles (deg): 60.00 60.00 60.00
Last column: nearest neighbours and their distance in Å.
Element x y z (fractional)
Na 0.2500 0.2500 0.2500  4 Hf 2.97, 4 Fe 2.97
Na 0.7500 0.7500 0.7500  4 Hf 2.97, 4 Fe 2.97
Hf 0.5000 0.5000 0.5000  8 Na 2.97
Fe 0.0000 0.0000 0.0000  8 Na 2.97

## Properties
M_tot   2.408 μB/cell
E_form   4.77 eV per formula unit
Symmetry   Fm-3m



(2)
TeMoSe2Br: PBEsol geometry, meta-GGA SCAN.

a b c (Å): 5.3558 5.2855 5.2855
angles (deg): 90.00 90.00 90.00
Last column: nearest neighbours and their distance in Å.
Element x y z (fractional)
Mo 0.5000 0.5000 0.5000  4 Br 3.74, 8 Se 3.76
Te 0.0000 0.0000 0.0000  4 Se 2.64, 2 Br 2.68
Se 0.0000 0.0000 0.5000  2 Te 2.64
Se 0.0000 0.5000 0.0000  2 Te 2.64
Br 0.5000 0.0000 0.0000  2 Te 2.68

## Properties
M_tot   4.529 μB/cell
Symmetry   P4/mmm
Energy relative to the elements, uncorrected   86.1 kJ per mole of atoms



(3)
Ba2CaBe: PBEsol geometry, meta-GGA SCAN.

a b c (Å): 3.8587 3.8587 10.1277
angles (deg): 90.00 90.00 90.00
Last column: nearest neighbours and their distance in Å.
Element x y z (fractional)
Be 0.0000 0.0000 0.5281  4 Ca 3.08, 4 Ba 3.39
Ca 0.5000 0.5000 0.6684  4 Be 3.08, 1 Ba 3.43
Ba 0.0000 0.0000 0.9739  4 Ba 3.86, 4 Ca 4.13
Ba 0.5000 0.5000 0.3295  4 Be 3.39, 1 Ca 3.43

## Properties
M_tot   0.235 μB/cell
E_form   1.16 eV per formula unit
Symmetry   P4mm